1.
# NaNd2P3Pd4 | Alexandria | PBE | relaxed
# Energy of formation from the pure elements   -0.827 eV per atom
# Total magnetic moment   0.000 μB/atom
# E   -56.1 eV/f.u.
# N(E_F)   5.4 states/eV/cell
data_NaNd2P3Pd4
_chemical_formula_sum 'Na1 Nd2 P3 Pd4'
_symmetry_space_group_name_H-M 'P -4 m 2'
_symmetry_Int_Tables_number 115
_symmetry_space_group_name_Hall 'P -4 -2'
_cell_length_a 4.183
_cell_length_b 4.183
_cell_length_c 10.507
_cell_angle_alpha 90.00
_cell_angle_beta 90.00
_cell_angle_gamma 90.00
loop_
_atom_site_label
_atom_site_fract_x
_atom_site_fract_y
_atom_site_fract_z
Na1 0.000 0.000 0.000
Nd1 0.000 0.500 0.730
P1 0.000 0.500 0.367
P2 0.500 0.500 0.000
Pd1 0.000 0.000 0.500
Pd2 0.000 0.500 0.145
Pd3 0.500 0.500 0.500

---

2.
# KHfFe2 | Alexandria | PBE | relaxed
# Energy of formation from the pure elements   1.127 eV per atom
# Total magnetic moment   0.889 μB/atom
# E   -23.5 eV/f.u.
# N(E_F)   19.1 states/eV/cell
data_KHfFe2
_chemical_formula_sum 'K4 Hf4 Fe8'
_symmetry_space_group_name_H-M 'F m -3 m'
_symmetry_Int_Tables_number 225
_symmetry_space_group_name_Hall '-F 4 2 3'
_cell_length_a 6.771
_cell_length_b 6.771
_cell_length_c 6.771
_cell_angle_alpha 90.00
_cell_angle_beta 90.00
_cell_angle_gamma 90.00
loop_
_atom_site_label
_atom_site_fract_x
_atom_site_fract_y
_atom_site_fract_z
K1 0.000 0.000 0.000
Hf1 0.000 0.000 0.500
Fe1 0.250 0.250 0.250

---

3.
# TaTi2Pt | Alexandria | PBE | relaxed
# Energy of formation from the pure elements   -0.450 eV per atom
# Total magnetic moment   0.000 μB/atom
# E   -35.5 eV/f.u.
# N(E_F)   17.9 states/eV/cell
data_TaTi2Pt
_chemical_formula_sum 'Ta4 Ti8 Pt4'
_symmetry_space_group_name_H-M 'F m -3 m'
_symmetry_Int_Tables_number 225
_symmetry_space_group_name_Hall '-F 4 2 3'
_cell_length_a 6.370
_cell_length_b 6.370
_cell_length_c 6.370
_cell_angle_alpha 90.00
_cell_angle_beta 90.00
_cell_angle_gamma 90.00
loop_
_atom_site_label
_atom_site_fract_x
_atom_site_fract_y
_atom_site_fract_z
Ta1 0.000 0.000 0.000
Ti1 0.250 0.250 0.250
Pt1 0.000 0.000 0.500